# 1
First-principles (GGA-PBE) data for a relaxed Ta2ZnHPt crystal, as listed in Alexandria via LeMat-Bulk.

Calculated volume (Å³ per cell): 67.9
Calculated total energy (eV per atom): -7.078
N(E_F) (states/eV/atom): 0.49

Cell lengths 4.063, 4.063, 4.114 Å; angles 90.00, 90.00, 90.00 degrees
Sites, in units of the cell vectors:
Ta  0.000  0.500  0.000
Ta  0.500  0.000  0.000
Zn  0.000  0.000  0.500
H  0.000  0.000  0.000
Pt  0.500  0.500  0.500

# 2
First-principles (GGA-PBE) data for a relaxed ZrTa2HPt crystal, as listed in Alexandria via LeMat-Bulk.

Calculated volume (Å³ per cell): 75.5
Calculated total energy (eV per atom): -8.636
N(E_F) (states/eV/atom): 0.81

Cell lengths 4.078, 4.078, 4.539 Å; angles 90.00, 90.00, 90.00 degrees
Sites, in units of the cell vectors:
Zr  0.000  0.000  0.000
Ta  0.000  0.500  0.500
Ta  0.500  0.000  0.500
H  0.000  0.000  0.500
Pt  0.500  0.500  0.000

# 3
First-principles (GGA-PBE) data for a relaxed Zr2TaHPt crystal, as listed in Alexandria via LeMat-Bulk.

Calculated volume (Å³ per cell): 79.5
Calculated total energy (eV per atom): -8.078
N(E_F) (states/eV/atom): 0.67

Cell lengths 4.590, 4.590, 3.775 Å; angles 90.00, 90.00, 90.00 degrees
Sites, in units of the cell vectors:
Zr  0.000  0.500  0.000
Zr  0.500  0.000  0.000
Ta  0.000  0.000  0.500
H  0.000  0.000  0.000
Pt  0.500  0.500  0.500

# 4
First-principles (GGA-PBE) data for a relaxed Zr2TaHPt crystal, as listed in Alexandria via LeMat-Bulk.

Calculated volume (Å³ per cell): 79.8
Calculated total energy (eV per atom): -8.011
N(E_F) (states/eV/atom): 0.95

Cell lengths 4.668, 4.668, 3.662 Å; angles 90.00, 90.00, 90.00 degrees
Sites, in units of the cell vectors:
Zr  0.000  0.500  0.000
Zr  0.500  0.000  0.000
Ta  0.000  0.000  0.500
H  0.500  0.500  0.000
Pt  0.500  0.500  0.500

What did the second record say?
First-principles (GGA-PBE) data for a relaxed ZrTa2HPt crystal, as listed in Alexandria via LeMat-Bulk.

Calculated volume (Å³ per cell): 75.5
Calculated total energy (eV per atom): -8.636
N(E_F) (states/eV/atom): 0.81

Cell lengths 4.078, 4.078, 4.539 Å; angles 90.00, 90.00, 90.00 degrees
Sites, in units of the cell vectors:
Zr  0.000  0.000  0.000
Ta  0.000  0.500  0.500
Ta  0.500  0.000  0.500
H  0.000  0.000  0.500
Pt  0.500  0.500  0.000